i) A plane-wave DFT calculation with PBE-GGA was carried out for a relaxed Zr2SbF crystal.

a b c (Å): 5.1046 5.1046 8.0865
angles (deg): 71.60 71.60 90.00
Last column: nearest neighbours and their distance in Å.
Fractional coordinates of all 8 atoms:
Zr (0.4944, 0.1250, 0.2500)  2 F 2.30
Zr (0.3750, 0.5056, 0.7500)  2 F 2.30
Zr (0.2556, 0.6250, 0.2500)  2 F 2.30
Zr (0.8750, 0.7444, 0.7500)  2 F 2.30
Sb (0.7500, 0.2500, 0.5000)  4 Zr 2.95
Sb (0.0000, 0.0000, 0.0000)  4 Zr 2.95
F (0.5000, 0.5000, 0.0000)  4 Zr 2.30
F (0.2500, 0.7500, 0.5000)  4 Zr 2.30

Results
* SG: I-42d
* total moment: 0.00 μB/cell

---

ii) A plane-wave DFT calculation with PBE-GGA was carried out for a relaxed Zr2SbF crystal.

a b c (Å): 4.8075 4.8075 4.8075
angles (deg): 60.00 60.00 60.00
Last column: nearest neighbours and their distance in Å.
Fractional coordinates of all 4 atoms:
Zr (0.7500, 0.7500, 0.7500)  4 Sb 2.94, 4 F 2.94
Zr (0.2500, 0.2500, 0.2500)  4 Sb 2.94, 4 F 2.94
Sb (0.5000, 0.5000, 0.5000)  8 Zr 2.94
F (0.0000, 0.0000, 0.0000)  8 Zr 2.94

Results
* SG: Fm-3m
* total moment: 0.00 μB/cell

---

The least stable of them is i).

---

i) A plane-wave DFT calculation with PBE-GGA was carried out for a relaxed ZrSbF2 crystal.

a b c (Å): 9.2796 9.2796 9.2796
angles (deg): 18.63 18.63 18.63
Last column: nearest neighbours and their distance in Å.
Fractional coordinates of all 4 atoms:
Zr (0.5000, 0.5000, 0.5000)  6 F 2.29
F (0.1119, 0.1119, 0.1119)  3 Zr 2.29
F (0.8881, 0.8881, 0.8881)  3 Zr 2.29
Sb (0.0000, 0.0000, 0.0000)  6 Sb 3.00, 2 F 3.06

Results
* SG: R-3m
* total moment: 0.00 μB/cell

---

ii) A plane-wave DFT calculation with PBE-GGA was carried out for a relaxed ZrSbF2 crystal.

a b c (Å): 4.4870 4.4870 4.4870
angles (deg): 60.00 60.00 60.00
Last column: nearest neighbours and their distance in Å.
Fractional coordinates of all 4 atoms:
Zr (0.0000, 0.0000, 0.0000)  8 F 2.75
F (0.2500, 0.2500, 0.2500)  4 Sb 2.75, 4 Zr 2.75
F (0.7500, 0.7500, 0.7500)  4 Sb 2.75, 4 Zr 2.75
Sb (0.5000, 0.5000, 0.5000)  8 F 2.75

Results
* SG: Fm-3m
* total moment: 0.00 μB/cell

---

The least stable of them is ii).

---

i) A plane-wave DFT calculation with PBE-GGA was carried out for a relaxed ZrSbF3 crystal.

a b c (Å): 4.4085 4.4085 4.4085
angles (deg): 90.00 90.00 90.00
Last column: nearest neighbours and their distance in Å.
Fractional coordinates of all 5 atoms:
Sb (0.5000, 0.5000, 0.5000)  12 F 3.12
Zr (0.0000, 0.0000, 0.0000)  6 F 2.20
F (0.0000, 0.5000, 0.0000)  2 Zr 2.20
F (0.0000, 0.0000, 0.5000)  2 Zr 2.20
F (0.5000, 0.0000, 0.0000)  2 Zr 2.20

Results
* SG: Pm-3m
* total moment: 2.44 μB/cell

---

ii) A plane-wave DFT calculation with PBE-GGA was carried out for a relaxed ZrSbF3 crystal.

a b c (Å): 4.6169 4.6169 4.6169
angles (deg): 90.00 90.00 90.00
Last column: nearest neighbours and their distance in Å.
Fractional coordinates of all 5 atoms:
Zr (0.5000, 0.5000, 0.5000)  12 F 3.26
F (0.5000, 0.0000, 0.0000)  2 Sb 2.31
F (0.0000, 0.5000, 0.0000)  2 Sb 2.31
F (0.0000, 0.0000, 0.5000)  2 Sb 2.31
Sb (0.0000, 0.0000, 0.0000)  6 F 2.31

Results
* SG: Pm-3m
* total moment: 2.70 μB/cell

---

The least stable of them is ii).